(1)
ErHfPt | GGA-PBE | optimized geometry

Space-group type: P2_1/c, No. 14
Polymorph energy (0 for the lowest one) in meV per atom: 231
Calculated volume in Å³/cell: 283.9
Fermi-level density of states in states/eV/cell: 11.1
Spin magnetization in μB/f.u.: 0.00

a = 6.1442 Å, b = 7.0942 Å, c = 6.5542 Å
α = 90.00°, β = 96.42°, γ = 90.00°
Closest atoms and distances in Å follow each position.
Sites, in units of the cell vectors:
Er: 0.0948 0.2321 0.0017  4 Pt 2.84-2.93
Er: 0.0948 0.2679 0.5017  4 Pt 2.84-2.93
Er: 0.9052 0.7321 0.4983  4 Pt 2.84-2.93
Er: 0.9052 0.7679 0.9983  4 Pt 2.84-2.93
Hf: 0.3949 0.6057 0.2248  3 Pt 2.62-2.85
Hf: 0.3949 0.8943 0.7248  3 Pt 2.62-2.85
Hf: 0.6051 0.1057 0.2752  3 Pt 2.62-2.85
Hf: 0.6051 0.3943 0.7752  3 Pt 2.62-2.85
Pt: 0.2289 0.5617 0.8045  3 Hf 2.62-2.85, 4 Er 2.84-2.93
Pt: 0.2289 0.9383 0.3045  3 Hf 2.62-2.85, 4 Er 2.84-2.93
Pt: 0.7711 0.0617 0.6955  3 Hf 2.62-2.85, 4 Er 2.84-2.93
Pt: 0.7711 0.4383 0.1955  3 Hf 2.62-2.85, 4 Er 2.84-2.93

=====

(2)
ErHfPt2 | GGA-PBE | optimized geometry

Space-group type: P4/mmm, No. 123
E in eV per atom: -7.780
Calculated volume in Å³/cell: 79.2
Fermi-level density of states in states/eV/cell: 3.1
Spin magnetization in μB/f.u.: 0.00

a = 3.3726 Å, b = 3.3726 Å, c = 6.9659 Å
α = 90.00°, β = 90.00°, γ = 90.00°
Closest atoms and distances in Å follow each position.
Sites, in units of the cell vectors:
Er: 0.0000 0.0000 0.0000  8 Pt 3.08, 4 Er 3.37
Hf: 0.0000 0.0000 0.5000  8 Pt 2.83
Pt: 0.5000 0.5000 0.2808  4 Hf 2.83, 1 Pt 3.05, 4 Er 3.08
Pt: 0.5000 0.5000 0.7192  4 Hf 2.83, 1 Pt 3.05, 4 Er 3.08

=====

(3)
Er3HfPt12 | GGA-PBE | optimized geometry

Space-group type: P4/mmm, No. 123
E in eV per atom: -7.098
Calculated volume in Å³/cell: 272.2
Fermi-level density of states in states/eV/cell: 14.0
Spin magnetization in μB/f.u.: 0.00

a = 4.0812 Å, b = 4.0812 Å, c = 16.3399 Å
α = 90.00°, β = 90.00°, γ = 90.00°
Closest atoms and distances in Å follow each position.
Sites, in units of the cell vectors:
Er: 0.0000 0.0000 0.0000  12 Pt 2.89-2.90
Er: 0.0000 0.0000 0.2506  12 Pt 2.88-2.94
Er: 0.0000 0.0000 0.7494  12 Pt 2.88-2.94
Hf: 0.0000 0.0000 0.5000  12 Pt 2.83-2.89
Pt: 0.0000 0.5000 0.1260  4 Er 2.88-2.90, 8 Pt 2.89-2.91
Pt: 0.0000 0.5000 0.3802  2 Hf 2.83, 8 Pt 2.83-2.91, 2 Er 2.94
Pt: 0.0000 0.5000 0.6198  2 Hf 2.83, 8 Pt 2.83-2.91, 2 Er 2.94
Pt: 0.0000 0.5000 0.8740  4 Er 2.88-2.90, 8 Pt 2.89-2.91
Pt: 0.5000 0.0000 0.1260  4 Er 2.88-2.90, 8 Pt 2.89-2.91
Pt: 0.5000 0.0000 0.3802  2 Hf 2.83, 8 Pt 2.83-2.91, 2 Er 2.94
Pt: 0.5000 0.0000 0.6198  2 Hf 2.83, 8 Pt 2.83-2.91, 2 Er 2.94
Pt: 0.5000 0.0000 0.8740  4 Er 2.88-2.90, 8 Pt 2.89-2.91
Pt: 0.5000 0.5000 0.0000  4 Er 2.89, 8 Pt 2.90
Pt: 0.5000 0.5000 0.2531  4 Er 2.89, 8 Pt 2.91
Pt: 0.5000 0.5000 0.5000  8 Pt 2.83, 4 Hf 2.89
Pt: 0.5000 0.5000 0.7469  4 Er 2.89, 8 Pt 2.91

=====

(4)
ErHf2Pt9 | GGA-PBE | optimized geometry

Space-group type: P4/mmm, No. 123
E in eV per atom: -7.688
Calculated volume in Å³/cell: 200.0
Fermi-level density of states in states/eV/cell: 2.3
Spin magnetization in μB/f.u.: 0.00

a = 4.0554 Å, b = 4.0554 Å, c = 12.1637 Å
α = 90.00°, β = 90.00°, γ = 90.00°
Closest atoms and distances in Å follow each position.
Sites, in units of the cell vectors:
Er: 0.0000 0.0000 0.0000  12 Pt 2.87-2.93
Hf: 0.0000 0.0000 0.3333  12 Pt 2.81-2.87
Hf: 0.0000 0.0000 0.6667  12 Pt 2.81-2.87
Pt: 0.0000 0.5000 0.1736  2 Hf 2.81, 8 Pt 2.84-2.93, 2 Er 2.93
Pt: 0.0000 0.5000 0.5000  8 Pt 2.84-2.87, 4 Hf 2.87
Pt: 0.0000 0.5000 0.8264  2 Hf 2.81, 8 Pt 2.84-2.93, 2 Er 2.93
Pt: 0.5000 0.0000 0.1736  2 Hf 2.81, 8 Pt 2.84-2.93, 2 Er 2.93
Pt: 0.5000 0.0000 0.5000  8 Pt 2.84-2.87, 4 Hf 2.87
Pt: 0.5000 0.0000 0.8264  2 Hf 2.81, 8 Pt 2.84-2.93, 2 Er 2.93
Pt: 0.5000 0.5000 0.0000  4 Er 2.87, 8 Pt 2.93
Pt: 0.5000 0.5000 0.3370  8 Pt 2.84, 4 Hf 2.87
Pt: 0.5000 0.5000 0.6630  8 Pt 2.84, 4 Hf 2.87

=====

(5)
ErHfPt2 | GGA-PBE | optimized geometry

Space-group type: P2_1/m, No. 11
E in eV per atom: -7.813
Calculated volume in Å³/cell: 161.6
Fermi-level density of states in states/eV/cell: 4.1
Spin magnetization in μB/f.u.: 0.00

a = 5.7272 Å, b = 4.5022 Å, c = 6.6705 Å
α = 90.00°, β = 110.01°, γ = 90.00°
Closest atoms and distances in Å follow each position.
Sites, in units of the cell vectors:
Er: 0.1742 0.2500 0.4012  6 Pt 2.94-3.06
Er: 0.8258 0.7500 0.5988  6 Pt 2.94-3.06
Hf: 0.3621 0.7500 0.1103  6 Pt 2.66-2.80
Hf: 0.6379 0.2500 0.8897  6 Pt 2.66-2.80
Pt: 0.1152 0.2500 0.8893  4 Hf 2.73-2.99, 2 Er 3.06
Pt: 0.3696 0.7500 0.7139  3 Hf 2.66-2.75, 2 Er 2.94-2.96
Pt: 0.6304 0.2500 0.2861  3 Hf 2.66-2.75, 2 Er 2.94-2.96
Pt: 0.8848 0.7500 0.1107  4 Hf 2.73-2.99, 2 Er 3.06

=====

(6)
ErHfPt6 | GGA-PBE | optimized geometry

Space-group type: P4/mmm, No. 123
E in eV per atom: -7.462
Calculated volume in Å³/cell: 134.4
Fermi-level density of states in states/eV/cell: 3.3
Spin magnetization in μB/f.u.: 0.00

a = 4.0655 Å, b = 4.0655 Å, c = 8.1321 Å
α = 90.00°, β = 90.00°, γ = 90.00°
Closest atoms and distances in Å follow each position.
Sites, in units of the cell vectors:
Er: 0.0000 0.0000 0.0000  12 Pt 2.87-2.92
Hf: 0.0000 0.0000 0.5000  12 Pt 2.83-2.87
Pt: 0.0000 0.5000 0.2581  2 Hf 2.83, 8 Pt 2.83-2.92, 2 Er 2.92
Pt: 0.0000 0.5000 0.7419  2 Hf 2.83, 8 Pt 2.83-2.92, 2 Er 2.92
Pt: 0.5000 0.0000 0.2581  2 Hf 2.83, 8 Pt 2.83-2.92, 2 Er 2.92
Pt: 0.5000 0.0000 0.7419  2 Hf 2.83, 8 Pt 2.83-2.92, 2 Er 2.92
Pt: 0.5000 0.5000 0.0000  4 Er 2.87, 8 Pt 2.92
Pt: 0.5000 0.5000 0.5000  8 Pt 2.83, 4 Hf 2.87

=====

(7)
ErHfPtRh | GGA-PBE | optimized geometry

Space-group type: F-43m, No. 216
E in eV per atom: -7.933
Calculated volume in Å³/cell: 76.3
Fermi-level density of states in states/eV/cell: 4.9
Spin magnetization in μB/f.u.: 0.00

a = 4.7600 Å, b = 4.7600 Å, c = 4.7600 Å
α = 60.00°, β = 60.00°, γ = 60.00°
Closest atoms and distances in Å follow each position.
Sites, in units of the cell vectors:
Er: 0.0000 0.0000 0.0000  4 Pt 2.91, 4 Rh 2.91
Hf: 0.5000 0.5000 0.5000  4 Rh 2.91, 4 Pt 2.91
Pt: 0.7500 0.7500 0.7500  4 Hf 2.91, 4 Er 2.91
Rh: 0.2500 0.2500 0.2500  4 Hf 2.91, 4 Er 2.91

=====

(8)
ErHfRuPt | GGA-PBE | optimized geometry

Space-group type: F-43m, No. 216
E in eV per atom: -8.274
Calculated volume in Å³/cell: 75.0
Fermi-level density of states in states/eV/cell: 1.7
Spin magnetization in μB/f.u.: 0.00

a = 4.7343 Å, b = 4.7343 Å, c = 4.7343 Å
α = 60.00°, β = 60.00°, γ = 60.00°
Closest atoms and distances in Å follow each position.
Sites, in units of the cell vectors:
Er: 0.0000 0.0000 0.0000  4 Pt 2.90, 4 Ru 2.90
Hf: 0.5000 0.5000 0.5000  4 Pt 2.90, 4 Ru 2.90
Ru: 0.2500 0.2500 0.2500  4 Hf 2.90, 4 Er 2.90
Pt: 0.7500 0.7500 0.7500  4 Er 2.90, 4 Hf 2.90